No. 1
HPtO2F: optimized geometry, PBE.

Calculated values
The density of states at the Fermi level comes out at 4.6 states/eV/f.u. As for the space group: P4/mmm. The volume comes out at 41.5 Å³/f.u. The total energy comes out at -3.842 eV per atom.

Unit cell a=4.0114 b=4.0114 c=2.5808 alpha=90.00 beta=90.00 gamma=90.00
Sites, in units of the cell vectors:
H (0.0000, 0.0000, 0.0000)
Pt (0.5000, 0.5000, 0.5000)
O (0.0000, 0.5000, 0.0000)
O (0.5000, 0.0000, 0.0000)
F (0.0000, 0.0000, 0.5000)


No. 2
HPtO2F: optimized geometry, PBE.

Calculated values
The density of states at the Fermi level comes out at 4.1 states/eV/f.u. As for the space group: P4/mmm. The volume comes out at 65.0 Å³/f.u. The total energy comes out at -3.981 eV per atom.

Unit cell a=3.8325 b=3.8325 c=4.4232 alpha=90.00 beta=90.00 gamma=90.00
Sites, in units of the cell vectors:
H (0.0000, 0.0000, 0.0000)
Pt (0.5000, 0.5000, 0.5000)
O (0.0000, 0.5000, 0.5000)
O (0.5000, 0.0000, 0.5000)
F (0.5000, 0.5000, 0.0000)


No. 3
Sb2H8PtO4F12: optimized geometry, PBE.

Calculated values
The density of states at the Fermi level comes out at 0.0 states/eV/f.u. As for the space group: P-1. The volume comes out at 334.5 Å³/f.u. The total energy comes out at -4.769 eV per atom.

Unit cell a=5.1614 b=8.3014 c=8.6667 alpha=69.01 beta=86.86 gamma=74.96
Sites, in units of the cell vectors:
Sb (0.1346, 0.1684, 0.1644)
Sb (0.8654, 0.8316, 0.8356)
H (0.2891, 0.2512, 0.4960)
H (0.2893, 0.6295, 0.1939)
H (0.4029, 0.2011, 0.6789)
H (0.4245, 0.5144, 0.7916)
H (0.5755, 0.4856, 0.2084)
H (0.5971, 0.7989, 0.3211)
H (0.7107, 0.3705, 0.8061)
H (0.7109, 0.7488, 0.5040)
Pt (0.5000, 0.5000, 0.5000)
O (0.3044, 0.3027, 0.5819)
O (0.4113, 0.5179, 0.2676)
O (0.5887, 0.4821, 0.7324)
O (0.6956, 0.6973, 0.4181)
F (0.0156, 0.7858, 0.0504)
F (0.1036, 0.6135, 0.8267)
F (0.1173, 0.9623, 0.7284)
F (0.2870, 0.1300, 0.3774)
F (0.3811, 0.9471, 0.1679)
F (0.3950, 0.2938, 0.0587)
F (0.6050, 0.7062, 0.9413)
F (0.6189, 0.0529, 0.8321)
F (0.7130, 0.8700, 0.6226)
F (0.8827, 0.0377, 0.2716)
F (0.8964, 0.3865, 0.1733)
F (0.9844, 0.2142, 0.9496)


No. 4
RbH6O2F2: optimized geometry, PBE.

Calculated values
The density of states at the Fermi level comes out at 1.4 states/eV/f.u. As for the space group: C2/m. The volume comes out at 148.1 Å³/f.u. The total energy comes out at -4.311 eV per atom.

Unit cell a=5.6619 b=5.6619 c=6.3224 alpha=109.18 beta=109.18 gamma=51.70
Sites, in units of the cell vectors:
Rb (0.0000, 0.0000, 0.0000)
H (0.2120, 0.5350, 0.4358)
H (0.3263, 0.3263, 0.6905)
H (0.4650, 0.7880, 0.5642)
H (0.5350, 0.2120, 0.4358)
H (0.6737, 0.6737, 0.3095)
H (0.7880, 0.4650, 0.5642)
O (0.3205, 0.3205, 0.4577)
O (0.6795, 0.6795, 0.5423)
F (0.3334, 0.3334, 0.8554)
F (0.6666, 0.6666, 0.1446)


No. 5
RbHO2F: optimized geometry, PBE.

Calculated values
The density of states at the Fermi level comes out at 4.7 states/eV/f.u. As for the space group: P4/mmm. The volume comes out at 70.5 Å³/f.u. The total energy comes out at -3.251 eV per atom.

Unit cell a=3.5107 b=3.5107 c=5.7186 alpha=90.00 beta=90.00 gamma=90.00
Sites, in units of the cell vectors:
Rb (0.0000, 0.0000, 0.0000)
H (0.5000, 0.5000, 0.5000)
O (0.0000, 0.5000, 0.5000)
O (0.5000, 0.0000, 0.5000)
F (0.5000, 0.5000, 0.0000)


No. 6
Rb2H2OF2: optimized geometry, PBE.

Calculated values
The density of states at the Fermi level comes out at 0.0 states/eV/f.u. As for the space group: P-1. The volume comes out at 118.7 Å³/f.u. The total energy comes out at -4.360 eV per atom.

Unit cell a=4.0425 b=4.4169 c=6.8893 alpha=88.60 beta=75.23 gamma=86.17
Sites, in units of the cell vectors:
Rb (0.1488, 0.2202, 0.2272)
Rb (0.8512, 0.7798, 0.7728)
H (0.4205, 0.3750, 0.6300)
H (0.5795, 0.6250, 0.3700)
O (0.5000, 0.5000, 0.5000)
F (0.3027, 0.2317, 0.8156)
F (0.6973, 0.7683, 0.1844)


No. 7
RbTeHOF4: optimized geometry, PBE.

Calculated values
The density of states at the Fermi level comes out at 0.0 states/eV/f.u. As for the space group: Cc. The volume comes out at 140.9 Å³/f.u. The total energy comes out at -4.577 eV per atom.

Unit cell a=8.4674 b=8.4674 c=14.1851 alpha=95.16 beta=95.16 gamma=33.82
Sites, in units of the cell vectors:
Rb (0.0982, 0.9018, 0.5000)
Rb (0.6063, 0.8027, 0.7672)
Rb (0.8027, 0.6063, 0.2672)
Rb (0.9018, 0.0982, 0.0000)
Te (0.2395, 0.2819, 0.0158)
Te (0.2819, 0.2395, 0.5158)
Te (0.4242, 0.4636, 0.7516)
Te (0.4636, 0.4242, 0.2516)
H (0.1558, 0.9137, 0.2532)
H (0.5472, 0.7924, 0.0133)
H (0.7924, 0.5472, 0.5133)
H (0.9137, 0.1558, 0.7532)
O (0.3503, 0.7352, 0.2806)
O (0.3527, 0.9712, 0.9860)
O (0.7352, 0.3503, 0.7806)
O (0.9712, 0.3527, 0.4860)
F (0.0593, 0.7066, 0.2786)
F (0.1304, 0.3553, 0.8754)
F (0.1455, 0.3707, 0.6521)
F (0.2234, 0.8406, 0.7168)
F (0.3302, 0.5610, 0.1153)
F (0.3511, 0.5747, 0.8917)
F (0.3553, 0.1304, 0.3754)
F (0.3707, 0.1455, 0.1521)
F (0.4827, 0.8619, 0.5496)
F (0.5610, 0.3302, 0.6153)
F (0.5747, 0.3511, 0.3917)
F (0.6444, 0.9991, 0.9898)
F (0.7066, 0.0593, 0.7786)
F (0.8406, 0.2234, 0.2168)
F (0.8619, 0.4827, 0.0495)
F (0.9991, 0.6444, 0.4898)


No. 8
ReHOF2: optimized geometry, PBE.

Calculated values
The density of states at the Fermi level comes out at 2.3 states/eV/f.u. The calculation puts the energy above the lowest structure with this stoichiometry at 0 meV/atom. As for the space group: P4/mmm. The volume comes out at 62.8 Å³/f.u.

Unit cell a=4.0869 b=4.0869 c=3.7581 alpha=90.00 beta=90.00 gamma=90.00
Sites, in units of the cell vectors:
Re (0.0000, 0.0000, 0.0000)
H (0.5000, 0.5000, 0.5000)
O (0.0000, 0.0000, 0.5000)
F (0.0000, 0.5000, 0.0000)
F (0.5000, 0.0000, 0.0000)


No. 9
ReHOF2: optimized geometry, PBE.

Calculated values
The density of states at the Fermi level comes out at 2.1 states/eV/f.u. The calculation puts the energy above the lowest structure with this stoichiometry at 660 meV/atom. As for the space group: P4/mmm. The volume comes out at 43.4 Å³/f.u.

Unit cell a=3.1090 b=3.1090 c=4.4918 alpha=90.00 beta=90.00 gamma=90.00
Sites, in units of the cell vectors:
Re (0.0000, 0.0000, 0.0000)
H (0.5000, 0.5000, 0.5000)
O (0.5000, 0.5000, 0.0000)
F (0.0000, 0.5000, 0.5000)
F (0.5000, 0.0000, 0.5000)


No. 10
HRhO2F: optimized geometry, PBE.

Calculated values
The density of states at the Fermi level comes out at 1.8 states/eV/f.u. As for the space group: P4/mmm. The volume comes out at 60.5 Å³/f.u. The total energy comes out at -4.507 eV per atom.

Unit cell a=3.7835 b=3.7835 c=4.2235 alpha=90.00 beta=90.00 gamma=90.00
Sites, in units of the cell vectors:
H (0.0000, 0.0000, 0.0000)
Rh (0.5000, 0.5000, 0.5000)
O (0.0000, 0.5000, 0.5000)
O (0.5000, 0.0000, 0.5000)
F (0.5000, 0.5000, 0.0000)


No. 11
HRhO2F: optimized geometry, PBE.

Calculated values
The density of states at the Fermi level comes out at 5.0 states/eV/f.u. As for the space group: P4/mmm. The volume comes out at 39.4 Å³/f.u. The total energy comes out at -4.253 eV per atom.

Unit cell a=3.9267 b=3.9267 c=2.5560 alpha=90.00 beta=90.00 gamma=90.00
Sites, in units of the cell vectors:
H (0.0000, 0.0000, 0.0000)
Rh (0.5000, 0.5000, 0.5000)
O (0.0000, 0.5000, 0.0000)
O (0.5000, 0.0000, 0.0000)
F (0.0000, 0.0000, 0.5000)